(1)
A geometry-optimized CsRbInRh2 structure, computed with PBE.

Unit cell a=5.1625 b=5.1625 c=6.2107 alpha=90.00 beta=90.00 gamma=90.00
Space group P4/mmm (No. 123)
Symmetry-distinct sites (fractional):
Cs: 0.0000 0.0000 0.0000 [1 per cell]
Rb: 0.5000 0.5000 0.0000 [1 per cell]
In: 0.5000 0.5000 0.5000 [1 per cell]
Rh: 0.0000 0.5000 0.5000 [2 per cell]

(2)
A geometry-optimized AlCr structure, computed with PBE.

Unit cell a=2.6851 b=2.6851 c=4.2427 alpha=90.00 beta=90.00 gamma=120.00
Space group P-6m2 (No. 187)
Symmetry-distinct sites (fractional):
Al: 0.0000 0.0000 0.0000 [1 per cell]
Cr: 0.6667 0.3333 0.5000 [1 per cell]

Result set for formation energy from the elements: 0.654, 0.030 eV/atom, one per record in the order listed.